# La8Pr2Tc | Alexandria | GGA-PBE | optimized geometry
data_La8Pr2Tc
_chemical_formula_sum 'La16 Pr4 Tc2'
_space_group_name_H-M_alt 'C 1 2/m 1'
_space_group_IT_number 12
_cell_length_a 18.474
_cell_length_b 6.118
_cell_length_c 7.388
_cell_angle_alpha 90.00
_cell_angle_beta 113.37
_cell_angle_gamma 90.00
loop_
_space_group_symop_operation_xyz
'x,y,z'
'-x,-y,-z'
'-x,y,-z'
'x,-y,z'
'x+1/2,y+1/2,z'
'-x+1/2,-y+1/2,-z'
'-x+1/2,y+1/2,-z'
'x+1/2,-y+1/2,z'
loop_
_atom_site_label
_atom_site_type_symbol
_atom_site_fract_x
_atom_site_fract_y
_atom_site_fract_z
_atom_site_occupancy
La1 La 0.000 0.000 0.240 1
La2 La 0.116 0.500 0.376 1
La3 La 0.118 0.500 0.861 1
La4 La 0.178 0.000 0.179 1
Pr1 Pr 0.193 0.000 0.692 1
Tc1 Tc 0.000 0.500 0.000 1
# Total energy in eV per atom: -5.35
# Formation enthalpy at 0 K in eV per formula unit: 0.5

# Ag2SnNF | Alexandria | GGA-PBE | optimized geometry
data_Ag2SnNF
_chemical_formula_sum 'Ag2 Sn1 N1 F1'
_space_group_name_H-M_alt 'P 4/m m m'
_space_group_IT_number 123
_space_group_name_Hall '-P 4 2'
_cell_length_a 4.288
_cell_length_b 4.288
_cell_length_c 4.965
_cell_angle_alpha 90.00
_cell_angle_beta 90.00
_cell_angle_gamma 90.00
loop_
_atom_site_label
_atom_site_type_symbol
_atom_site_fract_x
_atom_site_fract_y
_atom_site_fract_z
_atom_site_occupancy
Ag1 Ag 0.000 0.500 0.000 1
Sn1 Sn 0.000 0.000 0.500 1
N1 N 0.500 0.500 0.500 1
F1 F 0.500 0.500 0.000 1
# Total energy in eV per atom: -3.19

# Ba2MoOs | Alexandria | GGA-PBE | optimized geometry
data_Ba2MoOs
_chemical_formula_sum 'Ba2 Mo1 Os1'
_space_group_name_H-M_alt 'P 4/m m m'
_space_group_IT_number 123
_space_group_name_Hall '-P 4 2'
_cell_length_a 3.140
_cell_length_b 3.140
_cell_length_c 10.503
_cell_angle_alpha 90.00
_cell_angle_beta 90.00
_cell_angle_gamma 90.00
loop_
_atom_site_label
_atom_site_type_symbol
_atom_site_fract_x
_atom_site_fract_y
_atom_site_fract_z
_atom_site_occupancy
Ba1 Ba 0.000 0.000 0.235 1
Mo1 Mo 0.500 0.500 0.500 1
Os1 Os 0.500 0.500 0.000 1
# Polymorph energy (0 for the lowest one) in eV/f.u.: 4.65
# Total energy in eV per atom: -4.96
# Formation enthalpy at 0 K in eV per formula unit: 6.1

# AcBiI2 | Alexandria | GGA-PBE | optimized geometry
data_AcBiI2
_chemical_formula_sum 'Ac3 Bi3 I6'
_space_group_name_H-M_alt 'R -3 m'
_space_group_IT_number 166
_space_group_name_Hall '-R 3 2"'
_cell_length_a 4.0512
_cell_length_b 4.0512
_cell_length_c 34.2892
_cell_angle_alpha 90.00
_cell_angle_beta 90.00
_cell_angle_gamma 120.00
loop_
_atom_site_label
_atom_site_type_symbol
_atom_site_fract_x
_atom_site_fract_y
_atom_site_fract_z
_atom_site_occupancy
Ac1 Ac 0.0000 0.0000 0.0000 1
Bi1 Bi 0.0000 0.0000 0.5000 1
I1 I 0.0000 0.0000 0.4041 1
# Total energy in eV per atom: -3.39

# MnFe3Pt | Alexandria | GGA-PBE | optimized geometry
data_MnFe3Pt
_chemical_formula_sum 'Mn1 Fe3 Pt1'
_space_group_name_H-M_alt 'P m -3 m'
_space_group_IT_number 221
_space_group_name_Hall '-P 4 2 3'
_cell_length_a 4.157
_cell_length_b 4.157
_cell_length_c 4.157
_cell_angle_alpha 90.00
_cell_angle_beta 90.00
_cell_angle_gamma 90.00
loop_
_atom_site_label
_atom_site_type_symbol
_atom_site_fract_x
_atom_site_fract_y
_atom_site_fract_z
_atom_site_occupancy
Mn1 Mn 0.000 0.000 0.000 1
Fe1 Fe 0.000 0.000 0.500 1
Pt1 Pt 0.500 0.500 0.500 1
# Polymorph energy (0 for the lowest one) in eV/f.u.: 0.00
# Total energy in eV per atom: -7.13
# Formation enthalpy at 0 K in eV per formula unit: 5.0

# Nd4TeN2 | Alexandria | GGA-PBE | optimized geometry
data_Nd4TeN2
_chemical_formula_sum 'Nd12 Te3 N6'
_space_group_name_H-M_alt 'R -3 m'
_space_group_IT_number 166
_space_group_name_Hall '-R 3 2"'
_cell_length_a 3.7947
_cell_length_b 3.7947
_cell_length_c 40.7209
_cell_angle_alpha 90.00
_cell_angle_beta 90.00
_cell_angle_gamma 120.00
loop_
_atom_site_label
_atom_site_type_symbol
_atom_site_fract_x
_atom_site_fract_y
_atom_site_fract_z
_atom_site_occupancy
Nd1 Nd 0.0000 0.0000 0.1230 1
Nd2 Nd 0.0000 0.0000 0.2769 1
Te1 Te 0.0000 0.0000 0.0000 1
N1 N 0.0000 0.0000 0.4236 1
# Total energy in eV per atom: -6.65